# BaMoNO2 GGA+U optimized geometry
data_BaMoNO2
_chemical_formula_sum 'Ba1 Mo1 N1 O2'
_space_group_name_H-M_alt 'P 4/m m m'
_space_group_IT_number 123
_space_group_name_Hall '-P 4 2'
_cell_length_a 4.612
_cell_length_b 4.612
_cell_length_c 4.768
_cell_angle_alpha 90.00
_cell_angle_beta 90.00
_cell_angle_gamma 90.00
loop_
_atom_site_label
_atom_site_type_symbol
_atom_site_fract_x
_atom_site_fract_y
_atom_site_fract_z
Ba1 Ba 0.000 0.000 0.000
Mo1 Mo 0.500 0.500 0.500
N1 N 0.000 0.000 0.500
O1 O 0.000 0.500 0.000
# Crystal system   tetragonal
# Electronic total energy   -4.5741 eV per atom
# ρ   4.572 Mg/m³